No. 1
Material: ScRhAu3
Method: DFT, PBE-GGA
State: relaxed

Calculated values
size of the total moment: 0.22 μB per formula unit
energy of formation: 0.544 eV/atom
N(E_F): 2.1200 states/eV/atom
crystal system: cubic

Cell lengths 4.972, 4.972, 4.972 Å; angles 90.00, 90.00, 90.00 degrees
Space group Pm-3m (No. 221)
One atom of each set of equivalent atoms:
1 Sc 0.000 0.000 0.000 [1 per cell]
2 Rh 0.500 0.500 0.500 [1 per cell]
3 Au 0.000 0.500 0.500 [3 per cell]

---

No. 2
Material: TlHgPb2
Method: DFT, PBE-GGA
State: relaxed

Calculated values
size of the total moment: 0.00 μB per formula unit
energy of formation: 0.030 eV/atom
N(E_F): 0.4330 states/eV/atom
crystal system: orthorhombic

Cell lengths 3.788, 5.595, 11.191 Å; angles 90.00, 90.00, 90.00 degrees
Space group Imm2 (No. 44)
One atom of each set of equivalent atoms:
1 Tl 0.000 0.000 0.000 [2 per cell]
2 Hg 0.000 0.500 0.739 [2 per cell]
3 Pb 0.000 0.000 0.479 [2 per cell]
4 Pb 0.000 0.500 0.238 [2 per cell]

---

No. 3
Material: AgSb3Cl
Method: DFT, PBE-GGA
State: relaxed

Calculated values
size of the total moment: 0.00 μB per formula unit
N(E_F): 1.2154 states/eV/atom
ΔE_f (raw): 0.602 eV per atom
crystal system: cubic

Cell lengths 5.408, 5.408, 5.408 Å; angles 90.00, 90.00, 90.00 degrees
Space group Pm-3m (No. 221)
One atom of each set of equivalent atoms:
1 Ag 0.000 0.000 0.000 [1 per cell]
2 Sb 0.000 0.000 0.500 [3 per cell]
3 Cl 0.500 0.500 0.500 [1 per cell]

---

No. 4
Material: PmPrO2
Method: DFT, PBE-GGA
State: relaxed

Calculated values
size of the total moment: 0.00 μB per formula unit
N(E_F): 0.1089 states/eV/atom
ΔE_f (raw): -2.629 eV per atom
crystal system: trigonal

Cell lengths 3.5411, 3.5411, 18.2464 Å; angles 90.00, 90.00, 120.00 degrees
Space group R3m (No. 160, hexagonal axes)
One atom of each set of equivalent atoms:
1 Pm 0.0000 0.0000 0.0000 [3 per cell]
2 Pr 0.0000 0.0000 0.8224 [3 per cell]
3 O 0.0000 0.0000 0.4045 [3 per cell]
4 O 0.0000 0.0000 0.5830 [3 per cell]

---

No. 5
Material: YPbC
Method: DFT, PBE-GGA
State: relaxed

Calculated values
size of the total moment: 0.00 μB per formula unit
energy of formation: 0.122 eV/atom
N(E_F): 0.7137 states/eV/atom
crystal system: orthorhombic

Cell lengths 3.884, 4.430, 17.688 Å; angles 90.00, 90.00, 90.00 degrees
Space group Immm (No. 71)
One atom of each set of equivalent atoms:
1 Y 0.000 0.000 0.102 [4 per cell]
2 Pb 0.000 0.000 0.294 [4 per cell]
3 C 0.000 0.357 0.000 [4 per cell]

---

No. 6
Material: Tb12Er6Al
Method: DFT, PBE-GGA
State: relaxed

Calculated values
size of the total moment: 0.00 μB per formula unit
energy of formation: 0.090 eV/atom
N(E_F): 1.4902 states/eV/atom
crystal system: trigonal

Cell lengths 11.7707, 11.7707, 14.8686 Å; angles 90.00, 90.00, 120.00 degrees
Space group R-3 (No. 148, hexagonal axes)
One atom of each set of equivalent atoms:
1 Tb 0.0080 0.8308 0.3156 [18 per cell]
2 Tb 0.0473 0.1978 0.9145 [18 per cell]
3 Er 0.0253 0.5928 0.1904 [18 per cell]
4 Al 0.0000 0.0000 0.5000 [3 per cell]

---

No. 7
Material: BaCa2Ru
Method: DFT, PBE-GGA
State: relaxed

Calculated values
size of the total moment: 0.00 μB per formula unit
energy of formation: 0.262 eV/atom
N(E_F): 0.9368 states/eV/atom
crystal system: orthorhombic

Cell lengths 3.565, 5.142, 15.588 Å; angles 90.00, 90.00, 90.00 degrees
Space group Imm2 (No. 44)
One atom of each set of equivalent atoms:
1 Ba 0.000 0.000 0.000 [2 per cell]
2 Ca 0.000 0.000 0.692 [2 per cell]
3 Ca 0.000 0.500 0.836 [2 per cell]
4 Ru 0.000 0.500 0.339 [2 per cell]

---

No. 8
Material: MgMo2P
Method: DFT, PBE-GGA
State: relaxed

Calculated values
size of the total moment: 0.00 μB per formula unit
energy of formation: -0.003 eV/atom
N(E_F): 0.7972 states/eV/atom
crystal system: tetragonal

Cell lengths 3.020, 3.020, 7.063 Å; angles 90.00, 90.00, 90.00 degrees
Space group P4/mmm (No. 123)
One atom of each set of equivalent atoms:
1 Mg 0.000 0.000 0.000 [1 per cell]
2 Mo 0.500 0.500 0.311 [2 per cell]
3 P 0.000 0.000 0.500 [1 per cell]

---

No. 9
Material: Rb2NbCl5F
Method: DFT, PBE-GGA
State: relaxed

Calculated values
size of the total moment: 1.00 μB per formula unit
N(E_F): 0.1228 states/eV/atom
ΔE_f (raw): -1.852 eV per atom
crystal system: tetragonal

Cell lengths 7.508, 7.508, 9.560 Å; angles 90.00, 90.00, 90.00 degrees
Space group I4mm (No. 107)
One atom of each set of equivalent atoms:
1 Rb 0.000 0.500 0.000 [4 per cell]
2 Nb 0.000 0.000 0.251 [2 per cell]
3 Cl 0.000 0.000 0.502 [2 per cell]
4 Cl 0.233 0.233 0.250 [8 per cell]
5 F 0.000 0.000 0.049 [2 per cell]

---

No. 10
Material: La6Si2Sn
Method: DFT, PBE-GGA
State: relaxed

Calculated values
size of the total moment: 0.00 μB per formula unit
N(E_F): 1.1202 states/eV/atom
ΔE_f (raw): -0.569 eV per atom
crystal system: orthorhombic

Cell lengths 9.945, 10.310, 10.790 Å; angles 90.00, 90.00, 90.00 degrees
Space group Immm (No. 71)
One atom of each set of equivalent atoms:
1 La 0.000 0.207 0.241 [8 per cell]
2 La 0.209 0.500 0.181 [8 per cell]
3 La 0.224 0.312 0.500 [8 per cell]
4 Si 0.000 0.380 0.000 [4 per cell]
5 Si 0.000 0.500 0.390 [4 per cell]
6 Sn 0.000 0.000 0.000 [2 per cell]
7 Sn 0.000 0.000 0.500 [2 per cell]

---

No. 11
Material: La3RhBrCl
Method: DFT, PBE-GGA
State: relaxed

Calculated values
size of the total moment: 0.07 μB per formula unit
N(E_F): 0.8703 states/eV/atom
ΔE_f (raw): -1.219 eV per atom
crystal system: monoclinic

Cell lengths 8.794, 4.131, 10.555 Å; angles 90.00, 94.60, 90.00 degrees
Space group P2_1/m (No. 11)
One atom of each set of equivalent atoms:
1 La 0.038 0.250 0.324 [2 per cell]
2 La 0.191 0.250 0.995 [2 per cell]
3 La 0.430 0.750 0.289 [2 per cell]
4 Rh 0.117 0.750 0.168 [2 per cell]
5 Br 0.314 0.750 0.774 [2 per cell]
6 Cl 0.338 0.250 0.472 [2 per cell]

---

No. 12
Material: CeNd6In3
Method: DFT, PBE-GGA
State: relaxed

Calculated values
size of the total moment: 0.23 μB per formula unit
energy of formation: -0.245 eV/atom
N(E_F): 1.3739 states/eV/atom
crystal system: monoclinic

Cell lengths 9.558, 5.571, 12.246 Å; angles 90.00, 111.42, 90.00 degrees
Space group P2_1/m (No. 11)
One atom of each set of equivalent atoms:
1 Ce 0.055 0.250 0.438 [2 per cell]
2 Nd 0.090 0.750 0.877 [2 per cell]
3 Nd 0.141 0.750 0.157 [2 per cell]
4 Nd 0.150 0.250 0.709 [2 per cell]
5 Nd 0.254 0.750 0.492 [2 per cell]
6 Nd 0.357 0.250 0.329 [2 per cell]
7 Nd 0.468 0.750 0.085 [2 per cell]
8 In 0.231 0.250 0.031 [2 per cell]
9 In 0.363 0.750 0.780 [2 per cell]
10 In 0.448 0.250 0.622 [2 per cell]